# GGA-PBE Be2CuBSe, optimized geometry
data_Be2CuBSe
_space_group_name_H-M_alt 'P 4/m m m'
_space_group_IT_number 123
_space_group_name_Hall '-P 4 2'
_cell_length_a 3.5860
_cell_length_b 3.5860
_cell_length_c 5.4022
_cell_angle_alpha 90.00
_cell_angle_beta 90.00
_cell_angle_gamma 90.00
loop_
_atom_site_label
_atom_site_fract_x
_atom_site_fract_y
_atom_site_fract_z
Be1 0.0000 0.5000 0.0000
Cu1 0.0000 0.0000 0.5000
B1 0.5000 0.5000 0.0000
Se1 0.5000 0.5000 0.5000
# calculated total energy: -3.93 eV per atom
# total magnetic moment: 0.0 μB per cell
# raw formation energy: 0.4086 eV per atom

***

# GGA-PBE Tb5Hg2C, optimized geometry
data_Tb5Hg2C
_space_group_name_H-M_alt 'C m c m'
_space_group_IT_number 63
_space_group_name_Hall '-C 2c 2'
_cell_length_a 5.0195
_cell_length_b 15.8672
_cell_length_c 12.2766
_cell_angle_alpha 90.00
_cell_angle_beta 90.00
_cell_angle_gamma 90.00
loop_
_atom_site_label
_atom_site_fract_x
_atom_site_fract_y
_atom_site_fract_z
Tb1 0.0000 0.0853 0.1062
Tb2 0.0000 0.2987 0.0933
Tb3 0.0000 0.3012 0.7500
Hg1 0.0000 0.1046 0.6368
C1 0.0000 0.1864 0.2500
# calculated total energy: -4.16 eV per atom
# total magnetic moment: 0.0 μB per cell
# ΔE_f: -0.0331 eV per atom